Entry 1:
## In2CoSi (PBE)

Data for crystalline In2CoSi at its relaxed geometry.

Summary:
The formation energy without anion corrections is 0.063 eV per atom. The value obtained for the calculated total energy is -17.752 eV/cell.

Lattice parameters (Å, degrees): 3.8077 3.9726 5.2009 67.63 90.00 90.00
Element x y z (fractional)
In 0.0000 0.9745 0.9263
In 0.5000 0.2772 0.3204
Si 0.0000 0.6858 0.5024
Co 0.5000 0.5624 0.7508

***

Entry 2:
## InCoSi2 (PBE)

Data for crystalline InCoSi2 at its relaxed geometry.

Summary:
The formation energy without anion corrections is 0.176 eV per atom. The value obtained for the calculated total energy is -39.973 eV/cell.

Lattice parameters (Å, degrees): 4.3018 4.3018 8.2310 74.85 74.85 90.00
Element x y z (fractional)
Co 0.2500 0.7500 0.5000
Co 0.5000 0.5000 0.0000
Si 0.2347 0.6250 0.2500
Si 0.8750 0.7653 0.7500
Si 0.3750 0.4847 0.7500
Si 0.5153 0.1250 0.2500
In 0.0000 0.0000 0.0000
In 0.7500 0.2500 0.5000